Record 1
8
Lattice="5.063 0.000 0.000 -2.531 4.385 0.000 0.000 0.000 4.056" Properties=species:S:1:pos:R:3 comment="TaCo6Mo (GGA-PBEsol, optimized geometry)" polymorph_energy_ev_per_atom=0.000 pbc="T T T"
Ta 0.000 0.000 0.000
Co 1.337 0.772 2.028
Co 2.531 0.044 0.000
Co 1.304 2.170 0.000
Co 3.726 0.772 2.028
Co 2.531 2.841 2.028
Co 3.759 2.170 0.000
Mo 0.000 2.923 2.028


Record 2
4
Lattice="2.993 0.000 0.000 0.000 2.993 0.000 0.000 0.000 6.301" Properties=species:S:1:pos:R:3 comment="Mn2TlFe (GGA-PBEsol, optimized geometry)" polymorph_energy_ev_per_atom=0.000 pbc="T T T"
Mn 0.000 0.000 1.269
Mn 0.000 0.000 5.031
Tl 1.496 1.496 3.150
Fe 1.496 1.496 0.000


Record 3
5
Lattice="4.993 0.000 0.000 0.000 4.993 0.000 0.000 0.000 3.717" Properties=species:S:1:pos:R:3 comment="TiMoSe2N (GGA-PBEsol, optimized geometry)" e_form_raw_ev_per_fu=0.4 pbc="T T T"
Ti 0.000 0.000 0.000
Mo 2.496 2.496 1.859
Se 0.000 2.496 1.859
Se 2.496 0.000 1.859
N 2.496 2.496 0.000


Record 4
5
Lattice="3.934 0.000 0.000 0.000 3.934 0.000 0.000 0.000 5.486" Properties=species:S:1:pos:R:3 comment="MoPtSeF2 (GGA-PBEsol, optimized geometry)" e_form_raw_ev_per_fu=-0.4 pbc="T T T"
Mo 0.000 0.000 0.000
Pt 0.000 0.000 2.743
Se 1.967 1.967 0.000
F 0.000 1.967 2.743
F 1.967 0.000 2.743


Record 5
6
Lattice="4.584 0.000 0.000 -2.292 3.970 0.000 0.000 0.000 6.782" Properties=species:S:1:pos:R:3 comment="LuZnSn (GGA-PBEsol, optimized geometry)" dft_energy_ev_per_cell=-24.4 pbc="T T T"
Lu 0.000 0.000 0.000
Lu 0.000 0.000 3.391
Zn 0.000 2.647 1.696
Zn 2.292 1.323 5.087
Sn 0.000 2.647 5.087
Sn 2.292 1.323 1.696


Record 6
3
Lattice="1.538 -2.196 0.000 1.538 2.196 0.000 -0.014 0.000 5.931" Properties=species:S:1:pos:R:3 comment="BeReSi (GGA-PBEsol, optimized geometry)" e_form_raw_ev_per_fu=0.7 pbc="T T T"
Be 0.000 0.000 0.000
Re 1.523 0.000 4.136
Si 3.061 0.000 2.228